Record 1
Here is Tb6PmNd after structural relaxation from Alexandria. Energies are from GGA-PBE.

Computed properties:
**Volume**: 286.6 Å³ per cell
**Calculated formation energy**: 0.36 eV/atom
**Symmetry**: C2/m (12)
**Relative energy among the computed polymorphs**: 266 kJ/mol of formula units

abc: 6.1095 6.1095 8.5311
angles: 101.84 101.84 68.31
Last column: nearest neighbours and their distance in Å.
Fractional coordinates of all 8 atoms:
Tb  0.0414  0.5650  0.1993  5 Tb 3.27-3.59, 1 Nd 3.35, 2 Pm 3.43-3.52
Tb  0.1268  0.1268  0.4240  5 Tb 3.15-3.52
Tb  0.4350  0.9586  0.8007  5 Tb 3.27-3.59, 1 Nd 3.35, 2 Pm 3.43-3.52
Tb  0.5650  0.0414  0.1993  5 Tb 3.27-3.59, 1 Nd 3.35, 2 Pm 3.43-3.52
Tb  0.8732  0.8732  0.5760  5 Tb 3.15-3.52
Tb  0.9586  0.4350  0.8007  5 Tb 3.27-3.59, 1 Nd 3.35, 2 Pm 3.43-3.52
Pm  0.5000  0.5000  0.0000  8 Tb 3.43-3.52
Nd  0.5000  0.5000  0.5000  6 Tb 3.35-3.67

---

Record 2
Here is TbPm12Nd7 after structural relaxation from Alexandria. Energies are from GGA-PBE.

Computed properties:
**Volume**: 705.7 Å³ per cell
**Calculated formation energy**: 0.22 eV/atom
**Symmetry**: R-3 (148)
**Relative energy among the computed polymorphs**: 0 kJ/mol of formula units

abc: 8.9135 8.9135 8.9135
angles: 87.21 87.21 87.21
Last column: nearest neighbours and their distance in Å.
Fractional coordinates of all 20 atoms:
Tb  0.0000  0.0000  0.0000  6 Pm 3.51
Pm  0.1354  0.6160  0.4929  4 Pm 3.25-3.45, 2 Nd 3.36-3.61
Pm  0.1461  0.2749  0.7463  3 Pm 3.28-3.45, 1 Tb 3.51, 2 Nd 3.60-3.67
Pm  0.2537  0.8539  0.7251  3 Pm 3.28-3.45, 1 Tb 3.51, 2 Nd 3.60-3.67
Pm  0.2749  0.7463  0.1461  3 Pm 3.28-3.45, 1 Tb 3.51, 2 Nd 3.60-3.67
Pm  0.3840  0.5071  0.8646  4 Pm 3.25-3.45, 2 Nd 3.36-3.61
Pm  0.4929  0.1354  0.6160  4 Pm 3.25-3.45, 2 Nd 3.36-3.61
Pm  0.5071  0.8646  0.3840  4 Pm 3.25-3.45, 2 Nd 3.36-3.61
Pm  0.6160  0.4929  0.1354  4 Pm 3.25-3.45, 2 Nd 3.36-3.61
Pm  0.7251  0.2537  0.8539  3 Pm 3.28-3.45, 1 Tb 3.51, 2 Nd 3.60-3.67
Pm  0.7463  0.1461  0.2749  3 Pm 3.28-3.45, 1 Tb 3.51, 2 Nd 3.60-3.67
Pm  0.8539  0.7251  0.2537  3 Pm 3.28-3.45, 1 Tb 3.51, 2 Nd 3.60-3.67
Pm  0.8646  0.3840  0.5071  4 Pm 3.25-3.45, 2 Nd 3.36-3.61
Nd  0.0759  0.3949  0.1506  3 Nd 3.49-3.55, 7 Pm 3.60-3.85
Nd  0.1506  0.0759  0.3949  3 Nd 3.49-3.55, 7 Pm 3.60-3.85
Nd  0.3949  0.1506  0.0759  3 Nd 3.49-3.55, 7 Pm 3.60-3.85
Nd  0.5000  0.5000  0.5000  6 Pm 3.36
Nd  0.6051  0.8494  0.9241  3 Nd 3.49-3.55, 7 Pm 3.60-3.85
Nd  0.8494  0.9241  0.6051  3 Nd 3.49-3.55, 7 Pm 3.60-3.85
Nd  0.9241  0.6051  0.8494  3 Nd 3.49-3.55, 7 Pm 3.60-3.85

---

Record 3
Here is Tb4Pm3Nd5 after structural relaxation from Alexandria. Energies are from GGA-PBE.

Computed properties:
**Volume**: 415.0 Å³ per cell
**Calculated formation energy**: 0.21 eV/atom
**Symmetry**: C2/m (12)
**Relative energy among the computed polymorphs**: 229 kJ/mol of formula units

abc: 8.7081 8.7081 9.3904
angles: 114.43 114.43 40.49
Last column: nearest neighbours and their distance in Å.
Fractional coordinates of all 12 atoms:
Tb  0.0817  0.0817  0.4413  2 Tb 3.31-3.69, 1 Pm 3.46, 3 Nd 3.50-3.59
Tb  0.2130  0.2130  0.8777  3 Pm 3.32-3.58, 3 Tb 3.66-3.69, 3 Nd 3.69
Tb  0.7870  0.7870  0.1223  3 Pm 3.32-3.58, 3 Tb 3.66-3.69, 3 Nd 3.69
Tb  0.9183  0.9183  0.5587  2 Tb 3.31-3.69, 1 Pm 3.46, 3 Nd 3.50-3.59
Pm  0.2080  0.2080  0.2275  3 Nd 3.12-3.29, 2 Tb 3.32-3.46
Pm  0.5000  0.5000  0.0000  2 Nd 3.01
Pm  0.7920  0.7920  0.7725  3 Nd 3.12-3.29, 2 Tb 3.32-3.46
Nd  0.0000  0.0000  0.0000  4 Pm 3.01-3.12
Nd  0.3265  0.3265  0.6136  4 Pm 3.27-3.52, 3 Tb 3.50-3.59
Nd  0.4241  0.4241  0.3006  2 Pm 3.29-3.55, 1 Nd 3.46
Nd  0.5759  0.5759  0.6994  2 Pm 3.29-3.55, 1 Nd 3.46
Nd  0.6735  0.6735  0.3864  4 Pm 3.27-3.52, 3 Tb 3.50-3.59

---

Record 4
Here is Tb7Pm3Nd after structural relaxation from Alexandria. Energies are from GGA-PBE.

Computed properties:
**Volume**: 369.8 Å³ per cell
**Calculated formation energy**: 0.14 eV/atom
**Symmetry**: P-1 (2)
**Relative energy among the computed polymorphs**: 0 kJ/mol of formula units

abc: 5.5858 7.0039 10.0689
angles: 69.83 89.99 89.95
Last column: nearest neighbours and their distance in Å.
Fractional coordinates of all 11 atoms:
Tb  0.0000  0.0000  0.0000  4 Pm 3.42
Tb  0.0001  0.4167  0.1700  3 Tb 3.21-3.32, 5 Pm 3.56-3.57, 1 Nd 3.59
Tb  0.9999  0.5833  0.8300  3 Tb 3.21-3.32, 5 Pm 3.56-3.57, 1 Nd 3.59
Tb  0.5000  0.1454  0.7113  3 Tb 3.31-3.57, 2 Pm 3.36-3.38
Tb  0.5001  0.3198  0.3607  5 Tb 3.31-3.57, 2 Pm 3.55, 2 Nd 3.55
Tb  0.4999  0.6802  0.6393  5 Tb 3.31-3.57, 2 Pm 3.55, 2 Nd 3.55
Tb  0.5000  0.8546  0.2887  3 Tb 3.31-3.57, 2 Pm 3.36-3.38
Pm  0.0000  0.5000  0.5000  2 Nd 3.50, 10 Tb 3.55-3.86
Pm  0.4995  0.2820  0.0005  1 Pm 3.05, 2 Tb 3.36-3.38
Pm  0.5005  0.7180  0.9995  1 Pm 3.05, 2 Tb 3.36-3.38
Nd  0.0000  0.0000  0.5000  2 Pm 3.50, 10 Tb 3.55-3.86

---

Record 5
Here is Tb2Pm5Nd2 after structural relaxation from Alexandria. Energies are from GGA-PBE.

Computed properties:
**Volume**: 618.9 Å³ per cell
**Calculated formation energy**: 0.20 eV/atom
**Symmetry**: Ima2 (46)
**Relative energy among the computed polymorphs**: 0 kJ/mol of formula units

abc: 10.2083 10.2083 10.2083
angles: 85.17 108.10 140.67
Last column: nearest neighbours and their distance in Å.
Fractional coordinates of all 18 atoms:
Tb  0.0000  0.0000  0.0000  4 Pm 3.34-3.69
Tb  0.0000  0.5000  0.5000  4 Pm 3.34-3.69
Tb  0.0609  0.8190  0.7419  4 Pm 3.45-3.67, 2 Nd 3.67, 2 Tb 3.79
Tb  0.0771  0.3190  0.2581  4 Pm 3.45-3.67, 2 Nd 3.67, 2 Tb 3.79
Pm  0.0851  0.2074  0.5915  4 Pm 3.18-3.45, 2 Nd 3.39-3.56, 1 Tb 3.49
Pm  0.0851  0.9936  0.3778  4 Pm 3.18-3.45, 2 Nd 3.39-3.56, 1 Tb 3.49
Pm  0.1360  0.6279  0.0081  6 Pm 3.27-3.62, 1 Tb 3.45, 2 Nd 3.63
Pm  0.4294  0.1257  0.1985  4 Pm 3.18-3.43, 1 Tb 3.34, 1 Nd 3.38
Pm  0.4294  0.7309  0.8037  4 Pm 3.18-3.43, 1 Tb 3.34, 1 Nd 3.38
Pm  0.6159  0.4936  0.4085  4 Pm 3.18-3.45, 2 Nd 3.39-3.56, 1 Tb 3.49
Pm  0.6159  0.7074  0.6222  4 Pm 3.18-3.45, 2 Nd 3.39-3.56, 1 Tb 3.49
Pm  0.6198  0.1279  0.9919  6 Pm 3.27-3.62, 1 Tb 3.45, 2 Nd 3.63
Pm  0.9272  0.2309  0.8015  4 Pm 3.18-3.43, 1 Tb 3.34, 1 Nd 3.38
Pm  0.9272  0.6257  0.1963  4 Pm 3.18-3.43, 1 Tb 3.34, 1 Nd 3.38
Nd  0.5261  0.1555  0.6235  4 Pm 3.38-3.63, 2 Tb 3.67-3.75, 1 Nd 3.71
Nd  0.5261  0.4027  0.8706  4 Pm 3.38-3.63, 2 Tb 3.67-3.75, 1 Nd 3.71
Nd  0.5321  0.6555  0.1294  4 Pm 3.38-3.63, 2 Tb 3.67-3.75, 1 Nd 3.71
Nd  0.5321  0.9027  0.3765  4 Pm 3.38-3.63, 2 Tb 3.67-3.75, 1 Nd 3.71

---

Record 6
Here is Tb3Pm7Nd2 after structural relaxation from Alexandria. Energies are from GGA-PBE.

Computed properties:
**Volume**: 409.2 Å³ per cell
**Calculated formation energy**: 0.07 eV/atom
**Symmetry**: P2/m (10)
**Relative energy among the computed polymorphs**: 0 kJ/mol of formula units

abc: 6.4717 3.5799 17.7592
angles: 90.00 95.98 90.00
Last column: nearest neighbours and their distance in Å.
Fractional coordinates of all 12 atoms:
Tb  0.0000  0.0000  0.0000  2 Tb 3.58, 10 Pm 3.60-3.70
Tb  0.0470  0.5000  0.6594  2 Tb 3.58, 7 Pm 3.64-3.74, 4 Nd 3.66-3.75
Tb  0.9530  0.5000  0.3406  2 Tb 3.58, 7 Pm 3.64-3.74, 4 Nd 3.66-3.75
Pm  0.2237  0.5000  0.1648  7 Pm 3.58-3.71, 2 Nd 3.59, 3 Tb 3.60-3.74
Pm  0.2425  0.0000  0.5027  2 Pm 3.13-3.34, 2 Nd 3.44-3.46
Pm  0.2731  0.0000  0.8314  1 Nd 3.56, 8 Pm 3.58-3.71, 3 Tb 3.63-3.71
Pm  0.5000  0.5000  0.0000  8 Pm 3.58-3.66, 4 Tb 3.70
Pm  0.7269  0.0000  0.1686  1 Nd 3.56, 8 Pm 3.58-3.71, 3 Tb 3.63-3.71
Pm  0.7575  0.0000  0.4973  2 Pm 3.13-3.34, 2 Nd 3.44-3.46
Pm  0.7763  0.5000  0.8352  7 Pm 3.58-3.71, 2 Nd 3.59, 3 Tb 3.60-3.74
Nd  0.4416  0.0000  0.3292  5 Pm 3.44-3.59, 2 Nd 3.58, 4 Tb 3.66-3.75
Nd  0.5584  0.0000  0.6708  5 Pm 3.44-3.59, 2 Nd 3.58, 4 Tb 3.66-3.75

---

Record 7
Here is Tb3PmNd7 after structural relaxation from Alexandria. Energies are from GGA-PBE.

Computed properties:
**Volume**: 388.4 Å³ per cell
**Calculated formation energy**: 0.22 eV/atom
**Symmetry**: C2/m (12)
**Relative energy among the computed polymorphs**: 0 kJ/mol of formula units

abc: 8.6033 8.6033 5.9581
angles: 110.20 110.20 83.27
Last column: nearest neighbours and their distance in Å.
Fractional coordinates of all 11 atoms:
Tb  0.0000  0.0000  0.0000  4 Nd 3.25
Tb  0.2035  0.7965  0.5000  7 Nd 3.33-3.73
Tb  0.7965  0.2035  0.5000  7 Nd 3.33-3.73
Pm  0.5000  0.5000  0.0000  4 Nd 2.98-3.32
Nd  0.0091  0.5971  0.8029  2 Tb 3.25-3.61, 3 Nd 3.37-3.53
Nd  0.2091  0.2091  0.7089  1 Pm 3.32, 2 Tb 3.33, 2 Nd 3.53
Nd  0.4029  0.9909  0.1971  2 Tb 3.25-3.61, 3 Nd 3.37-3.53
Nd  0.5000  0.5000  0.5000  2 Pm 2.98
Nd  0.5971  0.0091  0.8029  2 Tb 3.25-3.61, 3 Nd 3.37-3.53
Nd  0.7909  0.7909  0.2911  1 Pm 3.32, 2 Tb 3.33, 2 Nd 3.53
Nd  0.9909  0.4029  0.1971  2 Tb 3.25-3.61, 3 Nd 3.37-3.53

---

Record 8
Here is Tb6Pm8Nd after structural relaxation from Alexandria. Energies are from GGA-PBE.

Computed properties:
**Volume**: 507.0 Å³ per cell
**Calculated formation energy**: 0.12 eV/atom
**Symmetry**: R-3 (148)

abc: 8.7518 8.7518 8.7518
angles: 63.14 63.14 63.14
Last column: nearest neighbours and their distance in Å.
Fractional coordinates of all 15 atoms:
Tb  0.0372  0.7451  0.5986  3 Pm 3.39-3.45, 1 Nd 3.52, 2 Tb 3.54
Tb  0.2549  0.4014  0.9628  3 Pm 3.39-3.45, 1 Nd 3.52, 2 Tb 3.54
Tb  0.4014  0.9628  0.2549  3 Pm 3.39-3.45, 1 Nd 3.52, 2 Tb 3.54
Tb  0.5986  0.0372  0.7451  3 Pm 3.39-3.45, 1 Nd 3.52, 2 Tb 3.54
Tb  0.7451  0.5986  0.0372  3 Pm 3.39-3.45, 1 Nd 3.52, 2 Tb 3.54
Tb  0.9628  0.2549  0.4014  3 Pm 3.39-3.45, 1 Nd 3.52, 2 Tb 3.54
Pm  0.0774  0.0774  0.0774  4 Pm 3.24-3.46, 3 Tb 3.39
Pm  0.2177  0.2489  0.6127  3 Tb 3.44-3.86, 5 Pm 3.46-3.49, 1 Nd 3.56
Pm  0.2489  0.6127  0.2177  3 Tb 3.44-3.86, 5 Pm 3.46-3.49, 1 Nd 3.56
Pm  0.3873  0.7823  0.7511  3 Tb 3.44-3.86, 5 Pm 3.46-3.49, 1 Nd 3.56
Pm  0.6127  0.2177  0.2489  3 Tb 3.44-3.86, 5 Pm 3.46-3.49, 1 Nd 3.56
Pm  0.7511  0.3873  0.7823  3 Tb 3.44-3.86, 5 Pm 3.46-3.49, 1 Nd 3.56
Pm  0.7823  0.7511  0.3873  3 Tb 3.44-3.86, 5 Pm 3.46-3.49, 1 Nd 3.56
Pm  0.9226  0.9226  0.9226  4 Pm 3.24-3.46, 3 Tb 3.39
Nd  0.5000  0.5000  0.5000  6 Tb 3.52, 6 Pm 3.56

---

calculated formation energy of number 7 (Tb3PmNd7)?
0.22 eV/atom

---

Repeat the sixth record exactly.
Here is Tb3Pm7Nd2 after structural relaxation from Alexandria. Energies are from GGA-PBE.

Computed properties:
**Volume**: 409.2 Å³ per cell
**Calculated formation energy**: 0.07 eV/atom
**Symmetry**: P2/m (10)
**Relative energy among the computed polymorphs**: 0 kJ/mol of formula units

abc: 6.4717 3.5799 17.7592
angles: 90.00 95.98 90.00
Last column: nearest neighbours and their distance in Å.
Fractional coordinates of all 12 atoms:
Tb  0.0000  0.0000  0.0000  2 Tb 3.58, 10 Pm 3.60-3.70
Tb  0.0470  0.5000  0.6594  2 Tb 3.58, 7 Pm 3.64-3.74, 4 Nd 3.66-3.75
Tb  0.9530  0.5000  0.3406  2 Tb 3.58, 7 Pm 3.64-3.74, 4 Nd 3.66-3.75
Pm  0.2237  0.5000  0.1648  7 Pm 3.58-3.71, 2 Nd 3.59, 3 Tb 3.60-3.74
Pm  0.2425  0.0000  0.5027  2 Pm 3.13-3.34, 2 Nd 3.44-3.46
Pm  0.2731  0.0000  0.8314  1 Nd 3.56, 8 Pm 3.58-3.71, 3 Tb 3.63-3.71
Pm  0.5000  0.5000  0.0000  8 Pm 3.58-3.66, 4 Tb 3.70
Pm  0.7269  0.0000  0.1686  1 Nd 3.56, 8 Pm 3.58-3.71, 3 Tb 3.63-3.71
Pm  0.7575  0.0000  0.4973  2 Pm 3.13-3.34, 2 Nd 3.44-3.46
Pm  0.7763  0.5000  0.8352  7 Pm 3.58-3.71, 2 Nd 3.59, 3 Tb 3.60-3.74
Nd  0.4416  0.0000  0.3292  5 Pm 3.44-3.59, 2 Nd 3.58, 4 Tb 3.66-3.75
Nd  0.5584  0.0000  0.6708  5 Pm 3.44-3.59, 2 Nd 3.58, 4 Tb 3.66-3.75

---

Which value of calculated formation energy does entry 7 give?
0.22 eV/atom